Record 1
SnPtW3 after structural relaxation. Source: Alexandria, functional GGA-PBE.

Output
As for the symmetry: Pm-3m (221). The value obtained for the formation enthalpy at 0 K is 2.798 eV/atom. Its energy relative to the lowest polymorph listed for this composition is 844 meV per atom. Its density of states at the Fermi level is 5.6 states/eV/cell.

abc: 4.814 4.814 4.814
angles: 90.00 90.00 90.00
Positions (direct):
Sn  0.000  0.000  0.000
Pt  0.500  0.500  0.500
W  0.000  0.000  0.500
W  0.000  0.500  0.000
W  0.500  0.000  0.000

=====

Record 2
SnPtW3 after structural relaxation. Source: Alexandria, functional GGA-PBE.

Output
As for the symmetry: Pm-3m (221). The value obtained for the formation enthalpy at 0 K is 1.954 eV/atom. Its energy relative to the lowest polymorph listed for this composition is 0 meV per atom. Its density of states at the Fermi level is 6.5 states/eV/cell.

abc: 4.819 4.819 4.819
angles: 90.00 90.00 90.00
Positions (direct):
Sn  0.000  0.000  0.000
Pt  0.500  0.500  0.500
W  0.000  0.500  0.500
W  0.500  0.000  0.500
W  0.500  0.500  0.000

=====

Record 3
SnPt2W after structural relaxation. Source: Alexandria, functional GGA-PBE.

Output
As for the symmetry: I-42d (122). The value obtained for the formation enthalpy at 0 K is 0.474 eV/atom. Its density of states at the Fermi level is 6.2 states/eV/cell.

abc: 7.083 7.083 7.083
angles: 130.07 130.07 73.30
Positions (direct):
Sn  0.000  0.000  0.000
Sn  0.750  0.250  0.500
Pt  0.152  0.625  0.027
Pt  0.375  0.402  0.527
Pt  0.598  0.125  0.973
Pt  0.875  0.848  0.473
W  0.250  0.750  0.500
W  0.500  0.500  0.000

=====

Record 4
Sn3PtW after structural relaxation. Source: Alexandria, functional GGA-PBE.

Output
As for the symmetry: Pm-3m (221). The value obtained for the formation enthalpy at 0 K is 1.111 eV/atom. Its energy relative to the lowest polymorph listed for this composition is 227 meV per atom. Its density of states at the Fermi level is 2.9 states/eV/cell.

abc: 5.174 5.174 5.174
angles: 90.00 90.00 90.00
Positions (direct):
Sn  0.000  0.000  0.500
Sn  0.000  0.500  0.000
Sn  0.500  0.000  0.000
Pt  0.000  0.000  0.000
W  0.500  0.500  0.500

=====

Record 5
SnPt3W after structural relaxation. Source: Alexandria, functional GGA-PBE.

Output
As for the symmetry: Pm-3m (221). The value obtained for the formation enthalpy at 0 K is 1.579 eV/atom. Its density of states at the Fermi level is 3.6 states/eV/cell.

abc: 4.859 4.859 4.859
angles: 90.00 90.00 90.00
Positions (direct):
Sn  0.000  0.000  0.000
Pt  0.000  0.000  0.500
Pt  0.000  0.500  0.000
Pt  0.500  0.000  0.000
W  0.500  0.500  0.500

=====

Record 6
Sn3PtW after structural relaxation. Source: Alexandria, functional GGA-PBE.

Output
As for the symmetry: Pm-3m (221). The value obtained for the formation enthalpy at 0 K is 0.884 eV/atom. Its energy relative to the lowest polymorph listed for this composition is 0 meV per atom. Its density of states at the Fermi level is 11.8 states/eV/cell.

abc: 5.205 5.205 5.205
angles: 90.00 90.00 90.00
Positions (direct):
Sn  0.000  0.000  0.500
Sn  0.000  0.500  0.000
Sn  0.500  0.000  0.000
Pt  0.500  0.500  0.500
W  0.000  0.000  0.000

=====

Record 7
YSnPt3 after structural relaxation. Source: Alexandria, functional GGA-PBE.

Output
As for the symmetry: Pm-3m (221). The value obtained for the formation enthalpy at 0 K is 0.607 eV/atom. Its energy relative to the lowest polymorph listed for this composition is 639 meV per atom. Its density of states at the Fermi level is 3.3 states/eV/cell.

abc: 5.142 5.142 5.142
angles: 90.00 90.00 90.00
Positions (direct):
Y  0.000  0.000  0.000
Sn  0.500  0.500  0.500
Pt  0.000  0.000  0.500
Pt  0.000  0.500  0.000
Pt  0.500  0.000  0.000

=====

Record 8
Y2SnPt9 after structural relaxation. Source: Alexandria, functional GGA-PBE.

Output
As for the symmetry: P4/mmm (123). The value obtained for the formation enthalpy at 0 K is -0.794 eV/atom. Its density of states at the Fermi level is 11.4 states/eV/cell.

abc: 4.108 4.108 12.296
angles: 90.00 90.00 90.00
Positions (direct):
Y  0.000  0.000  0.167
Y  0.000  0.000  0.833
Sn  0.000  0.000  0.500
Pt  0.000  0.500  0.000
Pt  0.000  0.500  0.338
Pt  0.000  0.500  0.662
Pt  0.500  0.000  0.000
Pt  0.500  0.000  0.338
Pt  0.500  0.000  0.662
Pt  0.500  0.500  0.171
Pt  0.500  0.500  0.500
Pt  0.500  0.500  0.829

=====

Record 9
Y2Sn2Pt after structural relaxation. Source: Alexandria, functional GGA-PBE.

Output
As for the symmetry: P4/mbm (127). The value obtained for the formation enthalpy at 0 K is -0.804 eV/atom. Its density of states at the Fermi level is 4.0 states/eV/cell.

abc: 7.121 7.121 4.781
angles: 90.00 90.00 90.00
Positions (direct):
Y  0.169  0.331  0.000
Y  0.331  0.831  0.000
Y  0.669  0.169  0.000
Y  0.831  0.669  0.000
Sn  0.144  0.644  0.500
Sn  0.356  0.144  0.500
Sn  0.644  0.856  0.500
Sn  0.856  0.356  0.500
Pt  0.000  0.000  0.500
Pt  0.500  0.500  0.500

=====

Record 10
Y3Sn2Pt after structural relaxation. Source: Alexandria, functional GGA-PBE.

Output
As for the symmetry: Pnma (62). The value obtained for the formation enthalpy at 0 K is -0.920 eV/atom. Its density of states at the Fermi level is 15.6 states/eV/cell.

abc: 12.172 4.505 11.605
angles: 90.00 90.00 90.00
Positions (direct):
Y  0.053  0.250  0.128
Y  0.121  0.750  0.555
Y  0.233  0.250  0.800
Y  0.267  0.750  0.300
Y  0.379  0.250  0.055
Y  0.447  0.750  0.628
Y  0.553  0.250  0.372
Y  0.621  0.750  0.945
Y  0.733  0.250  0.700
Y  0.767  0.750  0.200
Y  0.879  0.250  0.445
Y  0.947  0.750  0.872
Sn  0.001  0.750  0.306
Sn  0.187  0.750  0.006
Sn  0.313  0.250  0.506
Sn  0.499  0.250  0.806
Sn  0.501  0.750  0.194
Sn  0.687  0.750  0.494
Sn  0.813  0.250  0.994
Sn  0.999  0.250  0.694
Pt  0.123  0.250  0.372
Pt  0.377  0.750  0.872
Pt  0.623  0.250  0.128
Pt  0.877  0.750  0.628

=====

Record 11
YSn2Pt2 after structural relaxation. Source: Alexandria, functional GGA-PBE.

Output
As for the symmetry: P4/mbm (127). The value obtained for the formation enthalpy at 0 K is -0.485 eV/atom. Its density of states at the Fermi level is 6.4 states/eV/cell.

abc: 8.070 8.070 3.229
angles: 90.00 90.00 90.00
Positions (direct):
Y  0.000  0.000  0.000
Y  0.500  0.500  0.000
Sn  0.138  0.362  0.000
Sn  0.362  0.862  0.000
Sn  0.638  0.138  0.000
Sn  0.862  0.638  0.000
Pt  0.158  0.658  0.500
Pt  0.342  0.158  0.500
Pt  0.658  0.842  0.500
Pt  0.842  0.342  0.500

=====

Record 12
Y3SnPt12 after structural relaxation. Source: Alexandria, functional GGA-PBE.

Output
As for the symmetry: P4/mmm (123). The value obtained for the formation enthalpy at 0 K is -0.845 eV/atom. Its density of states at the Fermi level is 14.6 states/eV/cell.

abc: 4.118 4.118 16.376
angles: 90.00 90.00 90.00
Positions (direct):
Y  0.000  0.000  0.000
Y  0.000  0.000  0.251
Y  0.000  0.000  0.749
Sn  0.000  0.000  0.500
Pt  0.000  0.500  0.126
Pt  0.000  0.500  0.379
Pt  0.000  0.500  0.621
Pt  0.000  0.500  0.874
Pt  0.500  0.000  0.126
Pt  0.500  0.000  0.379
Pt  0.500  0.000  0.621
Pt  0.500  0.000  0.874
Pt  0.500  0.500  0.000
Pt  0.500  0.500  0.254
Pt  0.500  0.500  0.500
Pt  0.500  0.500  0.746